Tb3CeRh4 | PBE | optimized geometry

Geometry as POSCAR:
```
Tb3CeRh4
1.0
2.450 1.415 7.930
-2.450 1.415 7.930
0.000 -2.829 7.930
Tb Ce Rh
3 1 4
Cartesian
0.000 0.000 0.000
0.000 0.000 5.988
0.000 0.000 17.803
0.000 0.000 11.895
0.000 0.000 3.012
0.000 0.000 8.998
0.000 0.000 14.793
0.000 0.000 20.778
```

## Properties
ΔH_f (0 K)	-0.80	eV/atom
space group	R-3m